A relaxed BaLiSmMg crystal, computed with PBE.

Lattice parameters (Å, degrees): 5.792 5.792 5.792 60.00 60.00 60.00
Atoms (fractional coordinates):
Ba: 0.000 0.000 0.000
Li: 0.250 0.250 0.250
Sm: 0.500 0.500 0.500
Mg: 0.750 0.750 0.750

Energy relative to the elements in meV per atom: 116.5
Volume in Å³/cell: 137.4
Total energy in hartree per atom: -0.089